Record 1
La2ScMn: relaxed, PBE.

Calculated values
Its formation energy is 0.252 eV per atom. Its distance to the lowest polymorph of the same formula is 9.7 kJ per mole of atoms. The calculation puts the density at 5.565 g cm⁻³. Its crystal system is cubic. The final energy is -97.4 eV/cell.

Cell and atoms, written as CIF:
```
data_La2ScMn
_cell_length_a 7.668
_cell_length_b 7.668
_cell_length_c 7.668
_cell_angle_alpha 90.00
_cell_angle_beta 90.00
_cell_angle_gamma 90.00
_space_group_name_H-M_alt 'F m -3 m'
_space_group_IT_number 225
_space_group_name_Hall '-F 4 2 3'
loop_
_atom_site_label
_atom_site_fract_x
_atom_site_fract_y
_atom_site_fract_z
_atom_site_occupancy
La1 0.250 0.250 0.250 1
Sc1 0.000 0.000 0.000 1
Mn1 0.000 0.000 0.500 1
```

Record 2
La2ScMn: relaxed, PBE.

Calculated values
Its formation energy is 0.152 eV per atom. Its distance to the lowest polymorph of the same formula is 0.0 kJ per mole of atoms. The calculation puts the density at 5.666 g cm⁻³. Its crystal system is tetragonal. The final energy is -24.7 eV/cell.

Cell and atoms, written as CIF:
```
data_La2ScMn
_cell_length_a 3.603
_cell_length_b 3.603
_cell_length_c 8.529
_cell_angle_alpha 90.00
_cell_angle_beta 90.00
_cell_angle_gamma 90.00
_space_group_name_H-M_alt 'P 4 m m'
_space_group_IT_number 99
_space_group_name_Hall 'P 4 -2'
loop_
_atom_site_label
_atom_site_fract_x
_atom_site_fract_y
_atom_site_fract_z
_atom_site_occupancy
La1 0.000 0.000 0.000 1
La2 0.500 0.500 0.334 1
Sc1 0.500 0.500 0.716 1
Mn1 0.000 0.000 0.564 1
```

Record 3
La2ScMn: relaxed, PBE.

Calculated values
Its formation energy is 0.443 eV per atom. Its distance to the lowest polymorph of the same formula is 28.1 kJ per mole of atoms. The calculation puts the density at 5.584 g cm⁻³. Its crystal system is tetragonal. The final energy is -94.3 eV/cell.

Cell and atoms, written as CIF:
```
data_La2ScMn
_cell_length_a 8.480
_cell_length_b 8.480
_cell_length_c 6.248
_cell_angle_alpha 90.00
_cell_angle_beta 90.00
_cell_angle_gamma 90.00
_space_group_name_H-M_alt 'I -4 2 d'
_space_group_IT_number 122
_space_group_name_Hall 'I -4 2bw'
loop_
_atom_site_label
_atom_site_fract_x
_atom_site_fract_y
_atom_site_fract_z
_atom_site_occupancy
La1 0.189 0.250 0.125 1
Sc1 0.000 0.000 0.500 1
Mn1 0.000 0.000 0.000 1
```

Record 4
LaSc3Mn: relaxed, PBE.

Calculated values
Its formation energy is 0.101 eV per atom. Its distance to the lowest polymorph of the same formula is 0.0 kJ per mole of atoms. The calculation puts the density at 4.357 g cm⁻³. Its crystal system is cubic. The final energy is -32.6 eV/cell.

Cell and atoms, written as CIF:
```
data_LaSc3Mn
_cell_length_a 5.004
_cell_length_b 5.004
_cell_length_c 5.004
_cell_angle_alpha 90.00
_cell_angle_beta 90.00
_cell_angle_gamma 90.00
_space_group_name_H-M_alt 'P m -3 m'
_space_group_IT_number 221
_space_group_name_Hall '-P 4 2 3'
loop_
_atom_site_label
_atom_site_fract_x
_atom_site_fract_y
_atom_site_fract_z
_atom_site_occupancy
La1 0.000 0.000 0.000 1
Sc1 0.000 0.500 0.500 1
Mn1 0.500 0.500 0.500 1
```

Record 5
LaScMnSi2: relaxed, PBE.

Calculated values
The uncorrected formation energy comes out at -0.576 eV/atom. The calculation puts the density at 4.849 g cm⁻³. Its crystal system is tetragonal. The final energy is -68.3 eV/cell.

Cell and atoms, written as CIF:
```
data_LaScMnSi2
_cell_length_a 4.234
_cell_length_b 4.234
_cell_length_c 11.270
_cell_angle_alpha 90.00
_cell_angle_beta 90.00
_cell_angle_gamma 90.00
_space_group_name_H-M_alt 'I -4 m 2'
_space_group_IT_number 119
_space_group_name_Hall 'I -4 -2'
loop_
_atom_site_label
_atom_site_fract_x
_atom_site_fract_y
_atom_site_fract_z
_atom_site_occupancy
La1 0.000 0.000 0.000 1
Sc1 0.000 0.500 0.750 1
Mn1 0.000 0.500 0.250 1
Si1 0.000 0.000 0.391 1
```

Record 6
SrLa2ScMn: relaxed, PBE.

Calculated values
Its formation energy is 0.185 eV per atom. The calculation puts the density at 4.941 g cm⁻³. Its crystal system is tetragonal. The final energy is -26.1 eV/cell.

Cell and atoms, written as CIF:
```
data_SrLa2ScMn
_cell_length_a 5.382
_cell_length_b 5.382
_cell_length_c 5.398
_cell_angle_alpha 90.00
_cell_angle_beta 90.00
_cell_angle_gamma 90.00
_space_group_name_H-M_alt 'P 4/m m m'
_space_group_IT_number 123
_space_group_name_Hall '-P 4 2'
loop_
_atom_site_label
_atom_site_fract_x
_atom_site_fract_y
_atom_site_fract_z
_atom_site_occupancy
Sr1 0.000 0.000 0.000 1
La1 0.000 0.500 0.500 1
Sc1 0.500 0.500 0.000 1
Mn1 0.500 0.500 0.500 1
```

Record 7
LaScMn2Te: relaxed, PBE.

Calculated values
The uncorrected formation energy comes out at 1.051 eV/atom. The calculation puts the density at 5.417 g cm⁻³. Its crystal system is tetragonal. The final energy is -27.5 eV/cell.

Cell and atoms, written as CIF:
```
data_LaScMn2Te
_cell_length_a 4.735
_cell_length_b 4.735
_cell_length_c 5.760
_cell_angle_alpha 90.00
_cell_angle_beta 90.00
_cell_angle_gamma 90.00
_space_group_name_H-M_alt 'P 4/m m m'
_space_group_IT_number 123
_space_group_name_Hall '-P 4 2'
loop_
_atom_site_label
_atom_site_fract_x
_atom_site_fract_y
_atom_site_fract_z
_atom_site_occupancy
La1 0.000 0.000 0.000 1
Sc1 0.500 0.500 0.000 1
Mn1 0.000 0.500 0.500 1
Te1 0.000 0.000 0.500 1
```

Record 8
LaScMnW2: relaxed, PBE.

Calculated values
Its formation energy is 0.661 eV per atom. The calculation puts the density at 9.577 g cm⁻³. Its crystal system is tetragonal. The final energy is -43.0 eV/cell.

Cell and atoms, written as CIF:
```
data_LaScMnW2
_cell_length_a 4.676
_cell_length_b 4.676
_cell_length_c 4.810
_cell_angle_alpha 90.00
_cell_angle_beta 90.00
_cell_angle_gamma 90.00
_space_group_name_H-M_alt 'P 4/m m m'
_space_group_IT_number 123
_space_group_name_Hall '-P 4 2'
loop_
_atom_site_label
_atom_site_fract_x
_atom_site_fract_y
_atom_site_fract_z
_atom_site_occupancy
La1 0.000 0.000 0.000 1
Sc1 0.500 0.500 0.000 1
Mn1 0.500 0.500 0.500 1
W1 0.000 0.500 0.500 1
```

Look up the final energy of the fourth one. -32.6 eV/cell